Here is an optimized crystal structure of MnZnPtO6 from the Alexandria database. Energies are from PBE with a Hubbard U.

Total magnetization ... 0.15 μB per atom
Calculated total energy ... -5.757 eV per atom

abc: 5.0762 5.0762 8.8343
angles: 90.00 90.00 120.00
Last column: nearest neighbours and their distance in Å.
Space group P-31c (No. 163)
Symmetry-distinct sites (fractional):
Mn 0.3333 0.6667 0.2500 x2  6 O 1.92
Zn 0.0000 0.0000 0.0000 x2  6 O 2.13
Pt 0.3333 0.6667 0.7500 x2  6 O 1.98
O 0.0092 0.3573 0.1306 x12  1 Mn 1.92, 1 Pt 1.98, 1 Zn 2.13